Zn2B2Rh | Alexandria via LeMat-Bulk | GGA-PBE | optimized geometry; space group = No. 127; crystal system = tetragonal; DFT formation energy = 91 meV/atom
1.0
5.631 0.000 0.000
0.000 5.631 0.000
0.000 0.000 3.457
B Zn Rh
4 4 2
Cartesian
0.583 2.233 0.000 B
3.398 0.583 0.000 B
5.048 3.398 0.000 B
2.233 5.048 0.000 B
3.887 4.560 1.728 Zn
1.744 1.071 1.728 Zn
1.071 3.887 1.728 Zn
4.560 1.744 1.728 Zn
2.816 2.816 0.000 Rh
0.000 0.000 0.000 Rh

---

Sn2BiPb | Alexandria via LeMat-Bulk | GGA-PBE | optimized geometry; space group = No. 160; energy relative to the lowest polymorph listed for this composition = 56 meV/atom; crystal system = trigonal; DFT formation energy = 120 meV/atom
1.0
4.374 0.000 0.000
2.187 3.788 0.000
2.187 1.263 7.824
Sn Pb Bi
2 1 1
Cartesian
2.187 1.263 1.922 Sn
2.187 1.263 5.894 Sn
4.374 2.525 3.939 Pb
6.561 3.788 7.807 Bi

---

Er4Cd3Ni | Alexandria via LeMat-Bulk | GGA-PBE | optimized geometry; space group = No. 123; crystal system = tetragonal; DFT formation energy = -338 meV/atom
1.0
3.427 0.000 0.000
0.000 3.427 0.000
0.000 0.000 16.201
Cd Er Ni
3 4 1
Cartesian
1.714 1.714 3.802 Cd
1.714 1.714 8.100 Cd
1.714 1.714 12.399 Cd
0.000 0.000 10.265 Er
0.000 0.000 14.597 Er
0.000 0.000 5.935 Er
0.000 0.000 1.604 Er
1.714 1.714 0.000 Ni

---

Rb2NpF5 | Alexandria via LeMat-Bulk | GGA-PBE | optimized geometry; space group = No. 62; energy relative to the lowest polymorph listed for this composition = 0 meV/atom; crystal system = orthorhombic; energy relative to the elements, uncorrected = -3115 meV per atom
1.0
-1.499 -1.141 -6.740
-0.165 -7.702 1.340
-11.286 0.659 2.398
Rb F Np
8 20 4
Cartesian
-2.707 -0.514 -3.187 Rb
-3.869 -3.688 1.242 Rb
-8.999 -0.678 -4.908 Rb
-2.788 -4.332 -2.523 Rb
-9.080 -4.496 -4.244 Rb
-10.161 -3.852 -0.479 Rb
-10.243 -7.670 0.185 Rb
-3.951 -7.506 1.906 Rb
-4.445 -5.974 -0.659 F
-11.791 -3.984 -2.901 F
-9.421 -1.567 1.241 F
-6.963 -6.468 -3.809 F
-3.208 -2.804 -5.104 F
-4.066 -2.115 -1.252 F
-3.528 -6.617 -4.243 F
-7.110 -4.105 -0.289 F
-1.159 -4.199 -0.101 F
-0.757 -2.360 -2.251 F
-8.504 -2.210 -2.343 F
-12.193 -5.824 -0.751 F
-8.883 -6.068 -1.750 F
-9.741 -5.380 2.102 F
-5.986 -1.716 0.807 F
-1.231 -7.590 0.489 F
-5.840 -4.079 -2.713 F
-11.718 -0.594 -3.491 F
-7.183 -7.495 0.301 F
-5.767 -0.688 -3.303 F
-0.125 -1.985 -0.015 Np
-12.825 -6.199 -2.987 Np
-6.589 -6.077 -1.519 Np
-6.361 -2.107 -1.483 Np

---

- Which formula does entry 4 have?
  Rb2NpF5

---

Please write out number 4 again, unchanged.
Rb2NpF5 | Alexandria via LeMat-Bulk | GGA-PBE | optimized geometry; space group = No. 62; energy relative to the lowest polymorph listed for this composition = 0 meV/atom; crystal system = orthorhombic; energy relative to the elements, uncorrected = -3115 meV per atom
1.0
-1.499 -1.141 -6.740
-0.165 -7.702 1.340
-11.286 0.659 2.398
Rb F Np
8 20 4
Cartesian
-2.707 -0.514 -3.187 Rb
-3.869 -3.688 1.242 Rb
-8.999 -0.678 -4.908 Rb
-2.788 -4.332 -2.523 Rb
-9.080 -4.496 -4.244 Rb
-10.161 -3.852 -0.479 Rb
-10.243 -7.670 0.185 Rb
-3.951 -7.506 1.906 Rb
-4.445 -5.974 -0.659 F
-11.791 -3.984 -2.901 F
-9.421 -1.567 1.241 F
-6.963 -6.468 -3.809 F
-3.208 -2.804 -5.104 F
-4.066 -2.115 -1.252 F
-3.528 -6.617 -4.243 F
-7.110 -4.105 -0.289 F
-1.159 -4.199 -0.101 F
-0.757 -2.360 -2.251 F
-8.504 -2.210 -2.343 F
-12.193 -5.824 -0.751 F
-8.883 -6.068 -1.750 F
-9.741 -5.380 2.102 F
-5.986 -1.716 0.807 F
-1.231 -7.590 0.489 F
-5.840 -4.079 -2.713 F
-11.718 -0.594 -3.491 F
-7.183 -7.495 0.301 F
-5.767 -0.688 -3.303 F
-0.125 -1.985 -0.015 Np
-12.825 -6.199 -2.987 Np
-6.589 -6.077 -1.519 Np
-6.361 -2.107 -1.483 Np